# AcTbPrTe3

A relaxed AcTbPrTe3 crystal (PBE, Alexandria).

Space group: No. 11
Calculated total energy: -61.53 eV per cell
Size of the total moment: 0.00 μB per formula unit

Lattice parameters (Å, degrees): 4.6245 8.7992 10.7567 110.49 90.00 90.00
With the nearest neighbours (Å) after each atom.
Element x y z (fractional)
Te 0.7500 0.8932 0.1026  1 Tb 3.11, 2 Pr 3.25, 3 Ac 3.37-3.43
Te 0.7500 0.2409 0.4805  3 Tb 3.05-3.14
Tb 0.7500 0.8605 0.3808  5 Te 3.05-3.39
Tb 0.2500 0.1395 0.6192  5 Te 3.05-3.39
Pr 0.7500 0.3588 0.8810  5 Te 3.16-3.31
Te 0.2500 0.7591 0.5195  3 Tb 3.05-3.14
Te 0.7500 0.4564 0.2079  3 Pr 3.16-3.31, 1 Tb 3.39, 2 Ac 3.40
Te 0.2500 0.1068 0.8974  1 Tb 3.11, 2 Pr 3.25, 3 Ac 3.37-3.43
Pr 0.2500 0.6412 0.1190  5 Te 3.16-3.31
Ac 0.2500 0.1848 0.2326  7 Te 3.37-3.43
Te 0.2500 0.5436 0.7921  3 Pr 3.16-3.31, 1 Tb 3.39, 2 Ac 3.40
Ac 0.7500 0.8152 0.7674  7 Te 3.37-3.43